Material: SrMoH2F
Method: DFT, PBE+U
State: optimized geometry

The structure in POSCAR format:
```
SrMoH2F
1.0
3.696 0.000 0.000
0.000 6.828 0.000
0.000 0.000 3.696
Sr Mo H F
1 1 2 1
direct
0.000 0.500 0.000
0.000 0.000 0.000
0.000 0.000 0.500
0.500 0.000 0.000
0.500 0.500 0.500
```

Calculated values
ρ, g/cm3: 3.64
VASP energy, eV per atom: -4.113